Entry 1:
Pm2Ho5Rh4 after structural relaxation, computed with GGA-PBE.

As for the space-group type: No. 12. The calculation puts the calculated volume at 294.78 Å³/cell. The total energy is -6.0392 eV/atom.

Lattice parameters (Å, degrees): 3.5727 6.8531 12.1910 86.76 98.43 90.00
Positions (direct):
Ho 0.5000 0.0000 0.0000
Ho 0.2330 0.2812 0.4659
Ho 0.8660 0.1800 0.7319
Ho 0.7670 0.7188 0.5341
Ho 0.1340 0.8200 0.2681
Rh 0.3306 0.4788 0.6612
Rh 0.0281 0.7011 0.0563
Rh 0.9719 0.2989 0.9437
Rh 0.6694 0.5212 0.3388
Pm 0.0867 0.3418 0.1734
Pm 0.9133 0.6582 0.8266


Entry 2:
MgAsRu2 after structural relaxation, computed with GGA-PBE.

As for the space-group type: No. 12. The calculation puts the calculated volume at 61.40 Å³/cell. The total energy is -6.2137 eV/atom.

Lattice parameters (Å, degrees): 4.6050 4.6050 4.8763 74.47 74.47 38.26
Positions (direct):
As 0.7500 0.7500 0.7500
Ru 0.0242 0.0242 0.9640
Ru 0.4758 0.4758 0.5360
Mg 0.2500 0.2500 0.2500


Entry 3:
Ca2HoThAs4 after structural relaxation, computed with GGA-PBE.

As for the space-group type: No. 10. The calculation puts the calculated volume at 214.11 Å³/cell. The total energy is -5.5939 eV/atom.

Lattice parameters (Å, degrees): 4.2491 7.3036 7.3242 109.61 90.00 90.00
Positions (direct):
As 0.5000 0.2419 0.2380
As 0.0000 0.7513 0.2410
As 0.5000 0.7581 0.7620
As 0.0000 0.2487 0.7590
Ho 0.0000 0.0000 0.0000
Th 0.5000 0.5000 0.0000
Ca 0.5000 0.0000 0.5000
Ca 0.0000 0.5000 0.5000


So what do the calculations give for energy of formation? Going down the list: -0.42, -0.01, -1.27 eV per atom.
So what do the calculations give for size of the total moment? Going down the list: 0.000, 0.000, 0.000 μB/cell.